DFT (PBE-GGA) results for Er3PaH after structural relaxation. Values from VASP.

Structure (Quantum ESPRESSO input):
```
&SYSTEM
  ibrav = 0, nat = 5, ntyp = 3
/
ATOMIC_SPECIES
Er 167.26 Er.upf
Pa 231.04 Pa.upf
H 1.01 H.upf
CELL_PARAMETERS angstrom
4.8525 0.0000 0.0000
0.0000 4.8525 0.0000
0.0000 0.0000 4.8525
ATOMIC_POSITIONS angstrom
Er 2.4263 0.0000 0.0000
Er 0.0000 0.0000 2.4263
Er 0.0000 2.4263 0.0000
Pa 2.4263 2.4263 2.4263
H 0.0000 0.0000 0.0000
```

Computed properties:
The total energy comes out at -26.4 eV/cell. The value obtained for the calculated volume is 114.3 Å³/f.u.